A relaxed Li8HgAs2 crystal. Source: Alexandria, functional PBE-GGA.

Lattice parameters (Å, degrees): 7.2573 7.2573 7.2573 145.62 120.68 70.39
Fractional positions:
Li1 0.1312 0.3361 0.7952
Li2 0.1551 0.1551 0.0000
Li3 0.3162 0.0000 0.3162
Li4 0.4591 0.6639 0.7952
Li5 0.5409 0.3361 0.2048
Li6 0.6838 0.0000 0.6838
Li7 0.8449 0.8449 0.0000
Li8 0.8688 0.6639 0.2048
Hg1 0.0000 0.5000 0.5000
As1 0.3042 0.8042 0.5000
As2 0.6958 0.1958 0.5000

Computed properties:
Electronic total energy, eV per atom: -2.802
Energy of formation, meV/atom: -537.2

=====

A relaxed CaZr2W crystal. Source: Alexandria, functional PBE-GGA.

Lattice parameters (Å, degrees): 3.3722 3.3722 8.9510 90.00 90.00 90.00
Fractional positions:
Ca1 0.0000 0.0000 0.0000
Zr1 0.5000 0.5000 0.3250
Zr2 0.5000 0.5000 0.6750
W1 0.0000 0.0000 0.5000

Computed properties:
Electronic total energy, eV per atom: -7.799
Energy of formation, meV/atom: 214.2
Excess energy over the best structure of this formula in the dataset, meV per atom: 0

=====

A relaxed Na2InF crystal. Source: Alexandria, functional PBE-GGA.

Lattice parameters (Å, degrees): 5.1509 5.1509 5.1509 60.00 60.00 60.00
Fractional positions:
Na1 0.2500 0.2500 0.2500
Na2 0.7500 0.7500 0.7500
In1 0.0000 0.0000 0.0000
F1 0.5000 0.5000 0.5000

Computed properties:
Electronic total energy, eV per atom: -2.492
Excess energy over the best structure of this formula in the dataset, meV per atom: 661

=====

A relaxed CePuNpOs crystal. Source: Alexandria, functional PBE-GGA.

Lattice parameters (Å, degrees): 4.9402 4.9402 4.9402 60.00 60.00 60.00
Fractional positions:
Ce1 0.0000 0.0000 0.0000
Pu1 0.2500 0.2500 0.2500
Np1 0.7500 0.7500 0.7500
Os1 0.5000 0.5000 0.5000

Computed properties:
Electronic total energy, eV per atom: -10.983
Energy of formation, meV/atom: 126.0

=====

A relaxed NaReBr3 crystal. Source: Alexandria, functional PBE-GGA.

Lattice parameters (Å, degrees): 5.2559 5.2559 5.2559 90.00 90.00 90.00
Fractional positions:
Na1 0.0000 0.0000 0.0000
Re1 0.5000 0.5000 0.5000
Br1 0.0000 0.5000 0.5000
Br2 0.5000 0.0000 0.5000
Br3 0.5000 0.5000 0.0000

Computed properties:
Electronic total energy, eV per atom: -3.805
Excess energy over the best structure of this formula in the dataset, meV per atom: 0

=====

A relaxed ThHgBiPd crystal. Source: Alexandria, functional PBE-GGA.

Lattice parameters (Å, degrees): 5.1982 5.1982 5.1982 60.00 60.00 60.00
Fractional positions:
Th1 0.0000 0.0000 0.0000
Hg1 0.2500 0.2500 0.2500
Bi1 0.5000 0.5000 0.5000
Pd1 0.7500 0.7500 0.7500

Computed properties:
Electronic total energy, eV per atom: -4.603
Energy of formation, meV/atom: -403.9

=====

A relaxed V2CrGeBr crystal. Source: Alexandria, functional PBE-GGA.

Lattice parameters (Å, degrees): 4.4838 4.4838 4.5894 90.00 90.00 90.00
Fractional positions:
V1 0.0000 0.5000 0.0000
V2 0.5000 0.0000 0.0000
Cr1 0.0000 0.0000 0.0000
Ge1 0.0000 0.0000 0.5000
Br1 0.5000 0.5000 0.5000

Computed properties:
Electronic total energy, eV per atom: -5.926

=====

A relaxed KAuS2 crystal. Source: Alexandria, functional PBE-GGA.

Lattice parameters (Å, degrees): 7.3317 7.3317 7.0603 90.00 90.00 136.39
Fractional positions:
K1 0.1786 0.8214 0.7500
K2 0.8214 0.1786 0.2500
Au1 0.4979 0.5021 0.7500
Au2 0.5021 0.4979 0.2500
S1 0.3832 0.6168 0.0034
S2 0.3832 0.6168 0.4966
S3 0.6168 0.3832 0.5034
S4 0.6168 0.3832 0.9966

Computed properties:
Electronic total energy, eV per atom: -3.719

=====

A relaxed PtBr2 crystal. Source: Alexandria, functional PBE-GGA.

Lattice parameters (Å, degrees): 9.8547 9.8547 5.2729 90.00 90.00 120.00
Fractional positions:
Pt1 0.3333 0.6667 0.0203
Pt2 0.3333 0.6667 0.4797
Pt3 0.6667 0.3333 0.5203
Pt4 0.6667 0.3333 0.9797
Br1 0.0000 0.0000 0.0000
Br2 0.0000 0.0000 0.5000
Br3 0.2115 0.4230 0.7500
Br4 0.2115 0.7885 0.7500
Br5 0.4230 0.2115 0.2500
Br6 0.5770 0.7885 0.7500
Br7 0.7885 0.2115 0.2500
Br8 0.7885 0.5770 0.2500

Computed properties:
Electronic total energy, eV per atom: -2.802

=====

A relaxed TaTi3Tl crystal. Source: Alexandria, functional PBE-GGA.

Lattice parameters (Å, degrees): 5.4690 4.7307 7.3935 90.00 104.68 90.00
Fractional positions:
Ta1 0.0379 0.2500 0.3721
Ta2 0.9621 0.7500 0.6279
Ti1 0.1417 0.7500 0.0301
Ti2 0.2307 0.2500 0.7518
Ti3 0.3317 0.7500 0.4266
Ti4 0.6683 0.2500 0.5734
Ti5 0.7693 0.7500 0.2482
Ti6 0.8583 0.2500 0.9699
Tl1 0.4399 0.2500 0.1734
Tl2 0.5601 0.7500 0.8266

Computed properties:
Electronic total energy, eV per atom: -7.522
Energy of formation, meV/atom: 59.0
Excess energy over the best structure of this formula in the dataset, meV per atom: 0

=====

A relaxed NaBO2 crystal. Source: Alexandria, functional PBE-GGA.

Lattice parameters (Å, degrees): 4.7323 4.7323 4.7323 151.29 102.98 84.16
Fractional positions:
Na1 0.0000 0.0000 0.0000
B1 0.5000 0.0000 0.5000
O1 0.3228 0.5000 0.8228
O2 0.6772 0.5000 0.1772

Computed properties:
Electronic total energy, eV per atom: -5.913

=====

A relaxed CaTm2PtO5 crystal. Source: Alexandria, functional PBE-GGA.

Lattice parameters (Å, degrees): 6.3763 6.3763 5.8378 90.00 90.00 90.00
Fractional positions:
Ca1 0.0000 0.0000 0.0000
Ca2 0.5000 0.5000 0.0000
Tm1 0.1737 0.3263 0.5000
Tm2 0.3263 0.8263 0.5000
Tm3 0.6737 0.1737 0.5000
Tm4 0.8263 0.6737 0.5000
Pt1 0.0000 0.5000 0.0000
Pt2 0.5000 0.0000 0.0000
O1 0.0000 0.0000 0.5000
O2 0.1447 0.6447 0.2600
O3 0.1447 0.6447 0.7400
O4 0.3553 0.1447 0.2600
O5 0.3553 0.1447 0.7400
O6 0.5000 0.5000 0.5000
O7 0.6447 0.8553 0.2600
O8 0.6447 0.8553 0.7400
O9 0.8553 0.3553 0.2600
O10 0.8553 0.3553 0.7400

Computed properties:
Electronic total energy, eV per atom: -7.289